(1)
The following is a SCAN calculation of a crystal of RbLi3Pt relaxed with PBEsol, from Alexandria via LeMat-Bulk.

Cell: 4.995 4.995 4.995 Å, 90.00 90.00 90.00°
Fractional coordinates of all 5 atoms:
Rb 0.500 0.500 0.500
Pt 0.000 0.000 0.000
Li 0.000 0.500 0.000
Li 0.000 0.000 0.500
Li 0.500 0.000 0.000

Formation energy in eV per formula unit: -0.947



(2)
The following is a SCAN calculation of a crystal of LiRePt2 relaxed with PBEsol, from Alexandria via LeMat-Bulk.

Cell: 3.856 3.856 4.628 Å, 114.62 114.62 90.00°
Site moments in Bohr magnetons follow the coordinates.
Fractional coordinates of all 4 atoms:
Li 0.500 0.500 0.000  0.00
Pt 0.750 0.250 0.500  0.13
Pt 0.250 0.750 0.500  0.13
Re 0.000 0.000 0.000  1.24

Formation energy in eV per formula unit: -0.788
Polymorph energy (0 for the lowest one) in meV/atom: 65



(3)
The following is a SCAN calculation of a crystal of LiRePt2 relaxed with PBEsol, from Alexandria via LeMat-Bulk.

Cell: 2.677 4.241 5.982 Å, 110.76 102.93 90.00°
Fractional coordinates of all 4 atoms:
Li 0.222 0.722 0.444
Pt 0.042 0.042 0.084
Pt 0.768 0.268 0.536
Re 0.468 0.468 0.936

Formation energy in eV per formula unit: -1.048
Polymorph energy (0 for the lowest one) in meV/atom: 0



(4)
The following is a SCAN calculation of a crystal of Li2PtRh relaxed with PBEsol, from Alexandria via LeMat-Bulk.

Cell: 2.714 4.542 5.042 Å, 116.77 105.61 90.00°
Fractional coordinates of all 4 atoms:
Rh 0.500 0.000 0.000
Pt 0.000 0.500 0.000
Li 0.751 0.751 0.502
Li 0.249 0.249 0.498

Formation energy in eV per formula unit: -1.853
Polymorph energy (0 for the lowest one) in meV/atom: 4



(5)
The following is a SCAN calculation of a crystal of LiPt2Rh relaxed with PBEsol, from Alexandria via LeMat-Bulk.

Cell: 3.797 3.797 3.789 Å, 90.00 90.00 90.00°
Fractional coordinates of all 4 atoms:
Rh 0.500 0.500 0.500
Pt 0.000 0.500 0.000
Pt 0.500 0.000 0.000
Li 0.000 0.000 0.500

Formation energy in eV per formula unit: -1.569
Polymorph energy (0 for the lowest one) in meV/atom: 74



(6)
The following is a SCAN calculation of a crystal of Li2PtRh relaxed with PBEsol, from Alexandria via LeMat-Bulk.

Cell: 3.675 3.675 3.960 Å, 90.00 90.00 90.00°
Fractional coordinates of all 4 atoms:
Li 0.000 0.500 0.000
Li 0.500 0.000 0.000
Pt 0.500 0.500 0.500
Rh 0.000 0.000 0.500

Formation energy in eV per formula unit: -1.218
Polymorph energy (0 for the lowest one) in meV/atom: 162



(7)
The following is a SCAN calculation of a crystal of Li2PtRh relaxed with PBEsol, from Alexandria via LeMat-Bulk.

Cell: 2.632 4.692 5.040 Å, 117.21 104.26 91.82°
Site moments in Bohr magnetons follow the coordinates.
Fractional coordinates of all 4 atoms:
Rh 0.000 0.500 0.000  0.20
Pt 0.500 0.000 0.000  0.01
Li 0.000 0.000 0.500  0.00
Li 0.500 0.500 0.500  0.00

Formation energy in eV per formula unit: -1.866
Polymorph energy (0 for the lowest one) in meV/atom: 0



(8)
The following is a SCAN calculation of a crystal of Li2PtRh relaxed with PBEsol, from Alexandria via LeMat-Bulk.

Cell: 2.643 2.643 8.606 Å, 90.00 90.00 117.90°
Site moments in Bohr magnetons follow the coordinates.
Fractional coordinates of all 4 atoms:
Rh 0.500 0.500 0.000  0.14
Pt 0.500 0.500 0.500  0.00
Li 0.000 0.000 0.247  0.00
Li 0.000 0.000 0.753  0.00

Formation energy in eV per formula unit: -1.711
Polymorph energy (0 for the lowest one) in meV/atom: 39



(9)
The following is a SCAN calculation of a crystal of LiPt2Rh relaxed with PBEsol, from Alexandria via LeMat-Bulk.

Cell: 2.687 4.647 4.647 Å, 109.28 90.00 90.00°
Fractional coordinates of all 4 atoms:
Rh 0.500 0.000 0.000
Pt 0.000 0.500 0.000
Pt 0.000 0.000 0.500
Li 0.500 0.500 0.500

Formation energy in eV per formula unit: -1.865
Polymorph energy (0 for the lowest one) in meV/atom: 0



(10)
The following is a SCAN calculation of a crystal of Li2PtRh relaxed with PBEsol, from Alexandria via LeMat-Bulk.

Cell: 3.673 3.673 4.741 Å, 112.79 112.79 90.00°
Fractional coordinates of all 4 atoms:
Li 0.750 0.250 0.500
Li 0.250 0.750 0.500
Pt 0.500 0.500 0.000
Rh 0.000 0.000 0.000

Formation energy in eV per formula unit: -1.215
Polymorph energy (0 for the lowest one) in meV/atom: 163



(11)
The following is a SCAN calculation of a crystal of Li2PtRh relaxed with PBEsol, from Alexandria via LeMat-Bulk.

Cell: 2.635 4.652 5.053 Å, 116.45 105.11 90.00°
Fractional coordinates of all 4 atoms:
Rh 0.244 0.642 0.487
Pt 0.505 0.607 0.009
Li 0.995 0.089 0.989
Li 0.757 0.162 0.514

Formation energy in eV per formula unit: -1.817
Polymorph energy (0 for the lowest one) in meV/atom: 13



(12)
The following is a SCAN calculation of a crystal of Li2PtRh relaxed with PBEsol, from Alexandria via LeMat-Bulk.

Cell: 2.670 2.670 8.676 Å, 81.15 81.15 60.00°
Site moments in Bohr magnetons follow the coordinates.
Fractional coordinates of all 4 atoms:
Rh 0.500 0.500 0.500  0.33
Pt 0.000 0.000 0.000  0.00
Li 0.249 0.249 0.253  0.00
Li 0.751 0.751 0.747  0.00

Formation energy in eV per formula unit: -1.817
Polymorph energy (0 for the lowest one) in meV/atom: 13



Number 1: spin magnetization 0.00 μB/atom, final energy -19.8098 eV/atom. Number 2: spin magnetization 0.44 μB/atom, final energy -53.6654 eV/atom. Number 3: spin magnetization 0.00 μB/atom, final energy -53.7303 eV/atom. Number 4: spin magnetization 0.00 μB/atom, final energy -27.6493 eV/atom. Number 5: spin magnetization 0.00 μB/atom, final energy -44.5292 eV/atom. Number 6: spin magnetization 0.00 μB/atom, final energy -27.4907 eV/atom. Number 7: spin magnetization 0.04 μB/atom, final energy -27.6525 eV/atom. Number 8: spin magnetization 0.03 μB/atom, final energy -27.6138 eV/atom. Number 9: spin magnetization 0.00 μB/atom, final energy -44.6030 eV/atom. Number 10: spin magnetization 0.00 μB/atom, final energy -27.4897 eV/atom. Number 11: spin magnetization 0.00 μB/atom, final energy -27.6402 eV/atom. Number 12: spin magnetization 0.08 μB/atom, final energy -27.6402 eV/atom.